VASP calculation (PBE) on Zn2FeRh after structural relaxation.

Geometry as extended XYZ:
```
4
Lattice="1.3567 0.7833 8.6605 -1.3567 0.7833 8.6605 0.0000 -1.5666 8.6605" Properties=species:S:1:pos:R:3 pbc="T T T"
Zn 0.0000 0.0000 0.0000
Zn 0.0000 0.0000 6.3084
Fe 0.0000 0.0000 12.8800
Rh 0.0000 0.0000 19.4798
```

## Properties
The symmetry is No. 160. For the energy of formation from the pure elements, the calculation gives -0.2 eV/f.u.



VASP calculation (PBE) on AcNd4Dy3Se8 after structural relaxation.

Geometry as extended XYZ:
```
16
Lattice="4.2010 2.4255 6.8987 -4.2010 2.4255 6.8987 0.0000 -4.8509 6.8987" Properties=species:S:1:pos:R:3 pbc="T T T"
Ac 0.0000 0.0000 0.0000
Nd -4.2010 0.0000 10.3480
Nd -2.1005 1.2127 3.4493
Nd 2.1005 1.2127 3.4493
Nd 0.0000 0.0000 10.3480
Dy -2.1005 -1.2127 6.8987
Dy -2.1005 1.2127 13.7974
Dy 0.0000 2.4255 6.8987
Se 0.0000 0.0000 5.2789
Se 0.0000 -2.3278 8.5811
Se -2.0160 1.1639 8.5811
Se -2.0160 -1.1639 12.1150
Se 2.0160 1.1639 8.5811
Se 2.0160 -1.1639 12.1150
Se 0.0000 2.3278 12.1150
Se 0.0000 0.0000 15.4172
```

## Properties
The symmetry is No. 166. The value obtained for the uncorrected formation energy is -28.59 eV/f.u.



VASP calculation (PBE) on Sr4LiTm3Se8 after structural relaxation.

Geometry as extended XYZ:
```
16
Lattice="4.1970 2.4232 6.9470 -4.1970 2.4232 6.9470 0.0000 -4.8463 6.9470" Properties=species:S:1:pos:R:3 pbc="T T T"
Sr 0.0000 0.0000 0.0000
Sr -2.0985 -1.2116 6.9470
Sr -2.0985 1.2116 13.8940
Sr 0.0000 2.4232 6.9470
Li 0.0000 0.0000 10.4205
Tm -4.1970 0.0000 10.4205
Tm -2.0985 1.2116 3.4735
Tm 2.0985 1.2116 3.4735
Se -2.1091 -1.2177 11.9732
Se 0.0000 0.0000 5.0420
Se 0.0000 -2.4354 8.8678
Se -2.1091 1.2177 8.8678
Se 2.1091 -1.2177 11.9732
Se 0.0000 2.4354 11.9732
Se 0.0000 0.0000 15.7989
Se 2.1091 1.2177 8.8678
```

## Properties
The symmetry is No. 166. The value obtained for the uncorrected formation energy is -29.58 eV/f.u.



VASP calculation (PBE) on Nd3GeAsCl after structural relaxation.

Geometry as extended XYZ:
```
12
Lattice="8.4817 0.0000 0.0000 0.0000 4.3105 0.0000 -2.3015 0.0000 9.3054" Properties=species:S:1:pos:R:3 pbc="T T T"
Nd -0.1030 1.0776 3.2149
Nd 1.9229 1.0776 0.0159
Nd 1.9858 3.2328 5.8884
Nd 4.1945 1.0776 3.4170
Nd 4.2574 3.2328 9.2895
Nd 6.2832 3.2328 6.0905
Ge 2.0231 3.2328 2.6345
Ge 4.1571 1.0776 6.6709
As -0.1399 1.0776 6.1363
As 6.3201 3.2328 3.1691
Cl 1.2431 3.2328 8.5463
Cl 4.9372 1.0776 0.7591
```

## Properties
The symmetry is No. 11. The value obtained for the uncorrected formation energy is -6.84 eV/f.u.



VASP calculation (PBE) on Pm6TmPb4 after structural relaxation.

Geometry as extended XYZ:
```
11
Lattice="10.0769 0.0000 0.0000 -5.0384 8.7268 0.0000 0.0000 0.0000 4.0891" Properties=species:S:1:pos:R:3 pbc="T T T"
Pm 0.0000 3.4049 0.0000
Pm -2.0897 7.0244 0.0000
Pm 5.0384 0.7096 2.0445
Pm 3.1338 4.0086 2.0445
Pm 2.0897 7.0244 0.0000
Pm 6.9431 4.0086 2.0445
Tm 0.0000 0.0000 2.0445
Pb 2.3920 1.3810 0.0000
Pb 0.0000 5.8179 2.0445
Pb 7.6849 1.3810 0.0000
Pb 5.0384 5.9648 0.0000
```

## Properties
The symmetry is No. 187. For the energy of formation from the pure elements, the calculation gives -3.7 eV/f.u.



VASP calculation (PBE) on PrSmDy after structural relaxation.

Geometry as extended XYZ:
```
3
Lattice="3.6259 0.0000 0.0000 -1.8129 3.1401 0.0000 0.0000 0.0000 8.8879" Properties=species:S:1:pos:R:3 pbc="T T T"
Pr 0.0000 0.0000 0.0000
Sm 1.8129 1.0467 3.0392
Dy 0.0000 2.0934 5.9320
```

## Properties
The symmetry is No. 156. For the distance to the lowest polymorph of the same formula, the calculation gives 0.03 eV per formula unit. For the energy of formation from the pure elements, the calculation gives 0.1 eV/f.u.



no.,magnetization (μB/f.u.)
1,2.93
2,0.00
3,0.00
4,0.95
5,1.70
6,0.00